*a*
Computed, not measured: a geometry-optimized Ba3PtPb structure at the GGA-PBE level of DFT.

The structure belongs to space group P1 (No. 1); the cell edges are 6.021, 8.284 and 8.493 Å and the angles 84.27°, 89.97° and 89.70°. The distinct sites, in fractional coordinates, are Ba at (0.000, 0.000, 0.000), Ba at (0.001, 0.332, 0.382), Ba at (0.009, 0.458, 0.864), Ba at (0.009, 0.819, 0.474), Ba at (0.505, 0.114, 0.658), Ba at (0.505, 0.619, 0.144), Pt at (0.005, 0.654, 0.164), Pt at (0.511, 0.308, 0.944), Pb at (0.501, 0.099, 0.230) and Pb at (0.509, 0.562, 0.658).

For the total magnetic moment, the calculation gives 0.0 μB/cell. As for the density of states at the Fermi level: 1.5 states/eV/f.u.

***

*b*
Computed, not measured: a geometry-optimized Ba3PtPb structure at the GGA-PBE level of DFT.

The structure belongs to space group P2_1/c (No. 14); the cell edges are 10.606, 7.795 and 11.313 Å and the angles 90.00°, 114.87° and 90.00°. The distinct sites, in fractional coordinates, are Ba at (0.108, 0.066, 0.368), Ba at (0.208, 0.581, 0.558), Ba at (0.371, 0.082, 0.769), Pt at (0.077, 0.241, 0.610) and Pb at (0.441, 0.677, 0.931).

For the total magnetic moment, the calculation gives 0.0 μB/cell. As for the density of states at the Fermi level: 3.1 states/eV/f.u.

***

*c*
Computed, not measured: a geometry-optimized Ba3PtPb structure at the GGA-PBE level of DFT.

The structure belongs to space group Pm-3m (No. 221); the cell edges are 6.099, 6.099 and 6.099 Å and the angles 90.00°, 90.00° and 90.00°. The distinct sites, in fractional coordinates, are Ba at (0.000, 0.000, 0.500), Pt at (0.000, 0.000, 0.000) and Pb at (0.500, 0.500, 0.500).

For the total magnetic moment, the calculation gives 0.0 μB/cell. As for the density of states at the Fermi level: 2.7 states/eV/f.u.

***

The computed energies, referenced to the most stable structure and given in meV/atom, are *a* 51; *b* 0; *c* 72.

***

*a*
Computed, not measured: a geometry-optimized BaPt4Pb4 structure at the GGA-PBE level of DFT.

The structure belongs to space group P4_2/nmc (No. 137, origin choice 2); the cell edges are 7.052, 7.052 and 9.297 Å and the angles 90.00°, 90.00° and 90.00°. The distinct sites, in fractional coordinates, are Ba at (0.250, 0.750, 0.250), Pt at (0.055, 0.250, 0.086) and Pb at (0.004, 0.250, 0.385).

For the total magnetic moment, the calculation gives 0.0 μB/cell. As for the density of states at the Fermi level: 3.9 states/eV/f.u.

***

*b*
Computed, not measured: a geometry-optimized BaPt4Pb4 structure at the GGA-PBE level of DFT.

The structure belongs to space group P4_2/n (No. 86, origin choice 2); the cell edges are 9.353, 9.353 and 5.624 Å and the angles 90.00°, 90.00° and 90.00°. The distinct sites, in fractional coordinates, are Ba at (0.250, 0.250, 0.250), Pt at (0.068, 0.588, 0.656) and Pb at (0.109, 0.631, 0.149).

For the total magnetic moment, the calculation gives 0.0 μB/cell. As for the density of states at the Fermi level: 4.1 states/eV/f.u.

***

The computed energies, referenced to the most stable structure and given in meV/atom, are *a* 0; *b* 8.